Density functional theory data (PBE) for a geometry-optimized Be2Tl2Te structure. Values from VASP.

Offset from the most stable computed form ... 264.4 meV per atom
Raw formation energy ... 0.69 eV/atom

```
&SYSTEM
  ibrav = 0, nat = 10, ntyp = 3
/
ATOMIC_SPECIES
Be 9.01 Be.upf
Tl 204.38 Tl.upf
Te 127.60 Te.upf
CELL_PARAMETERS angstrom
8.4836 0.0000 0.0000
0.0000 8.4836 0.0000
0.0000 0.0000 3.1738
ATOMIC_POSITIONS angstrom
Be 0.7705 3.4713 0.0000
Be 3.4713 7.7130 0.0000
Be 5.0123 0.7705 0.0000
Be 7.7130 5.0123 0.0000
Tl 1.6798 5.9216 1.5869
Tl 2.5619 1.6798 1.5869
Tl 5.9216 6.8037 1.5869
Tl 6.8037 2.5619 1.5869
Te 0.0000 0.0000 1.5869
Te 4.2418 4.2418 1.5869
```

=====

Density functional theory data (PBE) for a geometry-optimized Os2RhPb structure. Values from VASP.

ΔH_f (0 K) ... 0.4856 eV per atom

```
&SYSTEM
  ibrav = 0, nat = 4, ntyp = 3
/
ATOMIC_SPECIES
Os 190.23 Os.upf
Rh 102.91 Rh.upf
Pb 207.20 Pb.upf
CELL_PARAMETERS angstrom
2.9230 0.0000 0.0000
0.0000 2.9230 0.0000
0.0000 0.0000 7.8555
ATOMIC_POSITIONS angstrom
Os 0.0000 0.0000 0.0000
Os 1.4615 1.4615 1.6066
Rh 1.4615 1.4615 5.9717
Pb 0.0000 0.0000 3.8629
```

=====

Density functional theory data (PBE) for a geometry-optimized InHgBi2Os structure. Values from VASP.

ΔH_f (0 K) ... 1.6779 eV per atom

```
&SYSTEM
  ibrav = 0, nat = 5, ntyp = 4
/
ATOMIC_SPECIES
In 114.82 In.upf
Hg 200.59 Hg.upf
Bi 208.98 Bi.upf
Os 190.23 Os.upf
CELL_PARAMETERS angstrom
5.6625 0.0000 0.0000
0.0000 5.6625 0.0000
0.0000 0.0000 5.2269
ATOMIC_POSITIONS angstrom
In 0.0000 0.0000 0.0000
Hg 0.0000 0.0000 2.6135
Bi 0.0000 2.8313 2.6135
Bi 2.8313 0.0000 2.6135
Os 2.8313 2.8313 0.0000
```

=====

Density functional theory data (PBE) for a geometry-optimized EuY2Tc structure. Values from VASP.

ΔH_f (0 K) ... 0.0265 eV per atom

```
&SYSTEM
  ibrav = 0, nat = 4, ntyp = 3
/
ATOMIC_SPECIES
Eu 151.96 Eu.upf
Y 88.91 Y.upf
Tc 98.00 Tc.upf
CELL_PARAMETERS angstrom
3.5111 0.0000 0.0000
0.0000 3.5111 0.0000
0.0000 0.0000 9.3034
ATOMIC_POSITIONS angstrom
Eu 0.0000 0.0000 0.0000
Y 1.7555 1.7555 3.0283
Y 1.7555 1.7555 6.2751
Tc 0.0000 0.0000 4.6517
```

=====

Density functional theory data (PBE) for a geometry-optimized Dy4Ru3Au structure. Values from VASP.

ΔH_f (0 K) ... -0.4863 eV per atom

```
&SYSTEM
  ibrav = 0, nat = 8, ntyp = 3
/
ATOMIC_SPECIES
Dy 162.50 Dy.upf
Ru 101.07 Ru.upf
Au 196.97 Au.upf
CELL_PARAMETERS angstrom
4.8644 0.0000 0.0000
0.0000 4.8644 0.0000
0.0000 0.0000 6.9215
ATOMIC_POSITIONS angstrom
Dy 0.0000 2.4322 1.6698
Dy 0.0000 2.4322 5.2517
Dy 2.4322 0.0000 1.6698
Dy 2.4322 0.0000 5.2517
Ru 0.0000 0.0000 0.0000
Ru 0.0000 0.0000 3.4607
Ru 2.4322 2.4322 0.0000
Au 2.4322 2.4322 3.4607
```

=====

Density functional theory data (PBE) for a geometry-optimized TcSb4Br structure. Values from VASP.

Raw formation energy ... 0.78 eV/atom

```
&SYSTEM
  ibrav = 0, nat = 6, ntyp = 3
/
ATOMIC_SPECIES
Tc 98.00 Tc.upf
Sb 121.76 Sb.upf
Br 79.90 Br.upf
CELL_PARAMETERS angstrom
0.0000 4.3999 4.3999
4.3999 0.0000 4.3999
4.3999 4.3999 0.0000
ATOMIC_POSITIONS angstrom
Tc 0.0000 0.0000 0.0000
Sb 3.3386 3.3386 3.3386
Sb 5.4613 5.4613 3.3386
Sb 5.4613 3.3386 5.4613
Sb 3.3386 5.4613 5.4613
Br 6.5999 6.5999 6.5999
```

=====

Density functional theory data (PBE) for a geometry-optimized BaAlTe3 structure. Values from VASP.

Offset from the most stable computed form ... 140.8 meV per atom
Raw formation energy ... -0.70 eV/atom

```
&SYSTEM
  ibrav = 0, nat = 5, ntyp = 3
/
ATOMIC_SPECIES
Ba 137.33 Ba.upf
Al 26.98 Al.upf
Te 127.60 Te.upf
CELL_PARAMETERS angstrom
5.5112 0.0000 0.0000
0.0000 5.5112 0.0000
0.0000 0.0000 5.5112
ATOMIC_POSITIONS angstrom
Ba 0.0000 0.0000 0.0000
Al 2.7556 2.7556 2.7556
Te 0.0000 2.7556 2.7556
Te 2.7556 0.0000 2.7556
Te 2.7556 2.7556 0.0000
```

=====

Density functional theory data (PBE) for a geometry-optimized Ba3Li2Ca structure. Values from VASP.

ΔH_f (0 K) ... 0.0453 eV per atom

```
&SYSTEM
  ibrav = 0, nat = 6, ntyp = 3
/
ATOMIC_SPECIES
Ba 137.33 Ba.upf
Li 6.94 Li.upf
Ca 40.08 Ca.upf
CELL_PARAMETERS angstrom
4.4223 0.0000 0.0000
0.0000 4.4223 0.0000
0.0000 0.0000 14.2249
ATOMIC_POSITIONS angstrom
Ba 0.0000 0.0000 0.0000
Ba 0.0000 0.0000 4.3134
Ba 0.0000 0.0000 9.9115
Li 2.2112 2.2112 2.1965
Li 2.2112 2.2112 12.0284
Ca 2.2112 2.2112 7.1125
```